VASP calculation (PBE-GGA) on an optimized crystal structure of YTe4.

The density of states at the Fermi level comes out at 7.31 states/eV/cell. The value obtained for the polymorph energy (0 for the lowest one) is 0.016 eV/atom. The energy relative to the elements, uncorrected is -8.73 kcal/mol of atoms.

It has space group Im-3m (No. 229), with a = 7.081 Å, b = 7.081 Å, c = 7.081 Å, α = 90.00°, β = 90.00° and γ = 90.00°. Symmetry generates all atoms from Y at (0.000, 0.000, 0.000) and Te at (0.250, 0.250, 0.250).